FePPt2 | PBE | optimized geometry

Computed properties:
As for the formation enthalpy at 0 K: -11 meV per atom. The total energy is -6.4995 eV per atom.

a b c (Å): 3.853 3.853 7.739
angles (deg): 90.00 90.00 90.00
Space group I4/mmm (No. 139)
Symmetry-distinct sites (fractional):
Fe1 0.000 0.000 0.000 (multiplicity 2)
P1 0.000 0.000 0.500 (multiplicity 2)
Pt1 0.000 0.500 0.250 (multiplicity 4)